YZn6Au6 | GGA-PBE | relaxed

The structure in POSCAR format:
```
YZn6Au6
1.0
5.330 -0.113 0.000
-2.566 4.673 0.000
0.000 0.000 9.090
Y Zn Au
1 6 6
Cartesian
0.000 0.000 0.000
2.665 -0.056 2.280
-1.283 2.337 2.280
1.382 2.280 2.282
-1.283 2.337 6.810
2.665 -0.056 6.810
1.382 2.280 6.808
0.000 0.000 3.049
0.000 0.000 6.041
2.698 1.483 0.000
0.067 3.078 0.000
2.700 1.481 4.545
0.064 3.079 4.545
```

E_tot in eV per atom: -2.970
Calculated formation energy in eV per atom: -0.372
Density in Mg/m³: 12.34
Total magnetic moment in μB per formula unit: 0.000
Distance to the lowest polymorph of the same formula in eV/atom: 0.0000